Record 1
Material: TePSe2
Method: DFT, PBE-GGA
State: relaxed

abc: 3.7715 3.7715 8.1979
angles: 90.00 90.00 90.00
Last column: nearest neighbours and their distance in Å.
Fractional positions:
Te (0.5000, 0.5000, 0.5000)  4 P 2.67
P (0.0000, 0.0000, 0.5000)  4 Te 2.67
Se (0.0000, 0.5000, 0.0000)  4 Se 2.67
Se (0.5000, 0.0000, 0.0000)  4 Se 2.67

Calculated values
VASP energy in eV per formula unit: -14.0
Offset from the most stable computed form in eV per formula unit: 0.953
Total moment in μB/f.u.: 0.00

Record 2
Material: TeP2Se
Method: DFT, PBE-GGA
State: relaxed

abc: 3.9046 4.8569 4.9824
angles: 73.55 90.00 90.00
Last column: nearest neighbours and their distance in Å.
Fractional positions:
P (0.0000, 0.9468, 0.0665)  1 P 2.24
P (0.0000, 0.5532, 0.4335)  1 P 2.24
Se (0.5000, 0.2500, 0.2500)  4 P 2.75, 2 Te 2.95
Te (0.5000, 0.7500, 0.7500)  4 P 2.84, 2 Se 2.95

Calculated values
VASP energy in eV per formula unit: -16.4
Offset from the most stable computed form in eV per formula unit: 0.507
Total moment in μB/f.u.: 0.00

Record 3
Material: Te2PSe
Method: DFT, PBE-GGA
State: relaxed

abc: 5.0599 5.0599 5.0599
angles: 60.00 60.00 60.00
Last column: nearest neighbours and their distance in Å.
Fractional positions:
Te (0.0000, 0.0000, 0.0000)  4 Se 3.10, 4 Te 3.10
Te (0.2500, 0.2500, 0.2500)  4 P 3.10, 4 Te 3.10
P (0.5000, 0.5000, 0.5000)  4 Se 3.10, 4 Te 3.10
Se (0.7500, 0.7500, 0.7500)  4 P 3.10, 4 Te 3.10

Calculated values
VASP energy in eV per formula unit: -12.7
Offset from the most stable computed form in eV per formula unit: 1.795
Total moment in μB/f.u.: 0.00

Record 4
Material: TePSe2
Method: DFT, PBE-GGA
State: relaxed

abc: 3.4031 3.4031 7.6803
angles: 90.00 90.00 90.00
Last column: nearest neighbours and their distance in Å.
Fractional positions:
Te (0.5000, 0.5000, 0.0000)  4 Te 3.40, 8 Se 3.47
P (0.5000, 0.5000, 0.5000)  8 Se 2.75
Se (0.0000, 0.0000, 0.6743)  1 Se 2.68, 4 P 2.75
Se (0.0000, 0.0000, 0.3257)  1 Se 2.68, 4 P 2.75

Calculated values
VASP energy in eV per formula unit: -13.4
Offset from the most stable computed form in eV per formula unit: 1.530
Total moment in μB/f.u.: 0.00

Record 5
Material: TePSe2
Method: DFT, PBE-GGA
State: relaxed

abc: 3.5937 3.5937 8.6813
angles: 90.00 90.00 90.00
Last column: nearest neighbours and their distance in Å.
Fractional positions:
Te (0.0000, 0.0000, 0.4481)  4 Se 2.76
P (0.5000, 0.5000, 0.8254)  4 Se 2.63
Se (0.0000, 0.0000, 0.9030)  4 P 2.63
Se (0.5000, 0.5000, 0.3236)  4 Te 2.76

Calculated values
VASP energy in eV per formula unit: -14.0
Offset from the most stable computed form in eV per formula unit: 0.908
Total moment in μB/f.u.: 0.00

Record 6
Material: TePSe3
Method: DFT, PBE-GGA
State: relaxed

abc: 4.8730 4.8730 4.8730
angles: 90.00 90.00 90.00
Last column: nearest neighbours and their distance in Å.
Fractional positions:
P (0.0000, 0.0000, 0.0000)  6 Se 2.44
Te (0.5000, 0.5000, 0.5000)  12 Se 3.45
Se (0.0000, 0.5000, 0.0000)  2 P 2.44
Se (0.0000, 0.0000, 0.5000)  2 P 2.44
Se (0.5000, 0.0000, 0.0000)  2 P 2.44

Calculated values
VASP energy in eV per formula unit: -16.8
Offset from the most stable computed form in eV per formula unit: 2.159
Total moment in μB/f.u.: 0.00

Record 7
Material: TeP2Se
Method: DFT, PBE-GGA
State: relaxed

abc: 9.0148 9.0148 9.0148
angles: 159.93 149.52 36.77
Last column: nearest neighbours and their distance in Å.
Fractional positions:
P (0.9107, 0.9107, 0.0000)  2 P 2.11
P (0.8280, 0.3280, 0.5000)  2 P 2.11
Se (0.5936, 0.5936, 0.0000)  2 Te 2.69
Te (0.1677, 0.6677, 0.5000)  2 Se 2.69

Calculated values
VASP energy in eV per formula unit: -16.3
Offset from the most stable computed form in eV per formula unit: 0.561
Total moment in μB/f.u.: 0.00

Record 8
Material: TePSe
Method: DFT, PBE-GGA
State: relaxed

abc: 3.6055 3.6055 7.0356
angles: 90.00 90.00 120.00
Last column: nearest neighbours and their distance in Å.
Fractional positions:
Te (0.3333, 0.6667, 0.7657)  3 P 2.71
P (0.0000, 0.0000, 0.0116)  3 Se 2.56, 3 Te 2.71
Se (0.6667, 0.3333, 0.2227)  3 P 2.56

Calculated values
VASP energy in eV per formula unit: -11.6
Offset from the most stable computed form in eV per formula unit: 0.222
Total moment in μB/f.u.: 0.00

Record 9
Material: TeP2Se
Method: DFT, PBE-GGA
State: relaxed

abc: 5.8226 5.8226 5.8226
angles: 143.30 89.13 102.32
Last column: nearest neighbours and their distance in Å.
Fractional positions:
P (0.9880, 0.9880, 0.0000)  2 Se 2.53, 2 Te 2.65
P (0.5120, 0.5120, 0.0000)  2 Se 2.53, 2 Te 2.65
Se (0.7500, 0.2500, 0.5000)  4 P 2.53
Te (0.2500, 0.7500, 0.5000)  4 P 2.65

Calculated values
VASP energy in eV per formula unit: -15.3
Offset from the most stable computed form in eV per formula unit: 1.638
Total moment in μB/f.u.: 0.00

Record 10
Material: TePSe
Method: DFT, PBE-GGA
State: relaxed

abc: 4.7844 4.7844 4.7844
angles: 60.00 60.00 60.00
Last column: nearest neighbours and their distance in Å.
Fractional positions:
Te (0.2500, 0.2500, 0.2500)  4 Se 2.93, 4 P 2.93
P (0.0000, 0.0000, 0.0000)  4 Te 2.93
Se (0.5000, 0.5000, 0.5000)  4 Te 2.93

Calculated values
VASP energy in eV per formula unit: -10.0
Offset from the most stable computed form in eV per formula unit: 1.815
Total moment in μB/f.u.: 0.00

Record 11
Material: TePSe3
Method: DFT, PBE-GGA
State: relaxed

abc: 7.0082 11.3323 8.4838
angles: 90.00 78.59 90.00
Last column: nearest neighbours and their distance in Å.
Fractional positions:
Te (0.9790, 0.6542, 0.3397)  2 Se 2.60-2.61
Te (0.5210, 0.1542, 0.1603)  2 Se 2.60-2.61
Te (0.0210, 0.3458, 0.6603)  2 Se 2.60-2.61
Te (0.4790, 0.8458, 0.8397)  2 Se 2.60-2.61
P (0.4040, 0.5761, 0.0512)  3 Se 2.16-2.31, 1 P 2.25
P (0.0960, 0.0761, 0.4488)  3 Se 2.16-2.31, 1 P 2.25
P (0.5960, 0.4239, 0.9488)  3 Se 2.16-2.31, 1 P 2.25
P (0.9040, 0.9239, 0.5512)  3 Se 2.16-2.31, 1 P 2.25
Se (0.1120, 0.7719, 0.5601)  1 P 2.27
Se (0.3880, 0.2719, 0.9399)  1 P 2.27
Se (0.8880, 0.2281, 0.4399)  1 P 2.27
Se (0.6120, 0.7281, 0.0601)  1 P 2.27
Se (0.7703, 0.9922, 0.8056)  1 P 2.31
Se (0.7297, 0.4922, 0.6944)  1 P 2.31
Se (0.2297, 0.0078, 0.1944)  1 P 2.31
Se (0.2703, 0.5078, 0.3056)  1 P 2.31
Se (0.7083, 0.8801, 0.3927)  1 P 2.16
Se (0.7917, 0.3801, 0.1073)  1 P 2.16
Se (0.2917, 0.1199, 0.6073)  1 P 2.16
Se (0.2083, 0.6199, 0.8927)  1 P 2.16

Calculated values
VASP energy in eV per formula unit: -18.9
Offset from the most stable computed form in eV per formula unit: 0.000
Total moment in μB/f.u.: 0.00

Record 12
Material: Te3PSe
Method: DFT, PBE-GGA
State: relaxed

abc: 5.2200 5.2200 5.2200
angles: 90.00 90.00 90.00
Last column: nearest neighbours and their distance in Å.
Fractional positions:
P (0.0000, 0.0000, 0.0000)  6 Te 2.61
Te (0.0000, 0.5000, 0.0000)  2 P 2.61
Te (0.0000, 0.0000, 0.5000)  2 P 2.61
Te (0.5000, 0.0000, 0.0000)  2 P 2.61
Se (0.5000, 0.5000, 0.5000)  12 Te 3.69

Calculated values
VASP energy in eV per formula unit: -15.1
Offset from the most stable computed form in eV per formula unit: 0.000
Total moment in μB/f.u.: 0.00

Record 13
Material: Te3PSe
Method: DFT, PBE-GGA
State: relaxed

abc: 5.4124 5.4124 5.4124
angles: 90.00 90.00 90.00
Last column: nearest neighbours and their distance in Å.
Fractional positions:
P (0.5000, 0.5000, 0.5000)  12 Te 3.83
Te (0.0000, 0.5000, 0.0000)  2 Se 2.71
Te (0.0000, 0.0000, 0.5000)  2 Se 2.71
Te (0.5000, 0.0000, 0.0000)  2 Se 2.71
Se (0.0000, 0.0000, 0.0000)  6 Te 2.71

Calculated values
VASP energy in eV per formula unit: -13.2
Offset from the most stable computed form in eV per formula unit: 1.871
Total moment in μB/f.u.: 0.49

Record 14
Material: TePSe
Method: DFT, PBE-GGA
State: relaxed

abc: 3.9106 3.9106 5.2307
angles: 90.00 90.00 120.00
Last column: nearest neighbours and their distance in Å.
Fractional positions:
Te (0.3333, 0.6667, 0.7013)  3 P 2.77
P (0.0000, 0.0000, 0.0064)  3 Se 2.71, 3 Te 2.77
Se (0.6667, 0.3333, 0.2923)  3 P 2.71

Calculated values
VASP energy in eV per formula unit: -11.5
Offset from the most stable computed form in eV per formula unit: 0.391
Total moment in μB/f.u.: 0.00

Record 15
Material: TePSe2
Method: DFT, PBE-GGA
State: relaxed

abc: 8.9253 8.9253 8.9253
angles: 155.66 155.66 34.69
Last column: nearest neighbours and their distance in Å.
Fractional positions:
Te (0.5000, 0.5000, 0.0000)  4 P 2.66
P (0.0000, 0.0000, 0.0000)  4 Te 2.66
Se (0.7500, 0.2500, 0.5000)  4 Se 2.66
Se (0.2500, 0.7500, 0.5000)  4 Se 2.66

Calculated values
VASP energy in eV per formula unit: -14.0
Offset from the most stable computed form in eV per formula unit: 0.911
Total moment in μB/f.u.: 0.00